(1)
The following is a DFT calculation (GGA-PBE) of a relaxed Zn2TcNi crystal.

Structure (POSCAR):
```
Zn2TcNi
1.0
0.000 3.000 3.000
3.000 0.000 3.000
3.000 3.000 0.000
Zn Tc Ni
2 1 1
Cartesian
0.000 0.000 0.000 Zn
1.500 1.500 1.500 Zn
3.000 3.000 3.000 Tc
4.500 4.500 4.500 Ni
```

Results
The calculation puts the density of states at the Fermi level at 2.00 states/eV per cell. As for the formation energy: 0.117 eV/atom. The total DFT energy (no corrections) is -18.2 eV per cell.


(2)
The following is a DFT calculation (GGA-PBE) of a relaxed CaCdF3 crystal.

Structure (POSCAR):
```
CaCdF3
1.0
4.476 0.000 0.000
0.000 6.747 0.000
0.000 0.000 5.355
Ca Cd F
2 2 6
Cartesian
0.000 1.411 0.000 Ca
0.000 5.336 2.678 Ca
2.238 2.532 2.586 Cd
2.238 4.215 5.264 Cd
0.000 0.796 3.183 F
0.000 3.185 1.546 F
0.000 3.562 4.223 F
0.000 5.951 0.506 F
2.238 1.314 0.522 F
2.238 5.433 3.200 F
```

Results
The calculation puts the density of states at the Fermi level at 2.06 states/eV per cell. The total DFT energy (no corrections) is -44.7 eV per cell. Its formation energy without anion corrections is -13.80 eV per formula unit.


(3)
The following is a DFT calculation (GGA-PBE) of a relaxed AcLaTmAg crystal.

Structure (POSCAR):
```
AcLaTmAg
1.0
0.000 3.989 3.989
3.989 0.000 3.989
3.989 3.989 0.000
Ac La Tm Ag
1 1 1 1
Cartesian
0.000 0.000 0.000 Ac
5.983 5.983 5.983 La
1.994 1.994 1.994 Tm
3.989 3.989 3.989 Ag
```

Results
The calculation puts the density of states at the Fermi level at 7.93 states/eV per cell. As for the formation energy: 0.173 eV/atom. The total DFT energy (no corrections) is -15.7 eV per cell.